First-principles (GGA-PBEsol) data for a relaxed structure of KMg2ReRh, as listed in Alexandria.

a = 4.446 Å, b = 4.704 Å, c = 4.704 Å
α = 90.00°, β = 90.00°, γ = 90.00°
Sites, in units of the cell vectors:
1 Re 0.500 0.000 0.000
2 K 0.000 0.000 0.000
3 Rh 0.500 0.500 0.500
4 Mg 0.000 0.000 0.500
5 Mg 0.000 0.500 0.000

Summary:
DOS(E_F) in states/eV per cell: 4.31
Spin magnetization in μB per formula unit: 0.9
ΔH_f (0 K) in eV/atom: 2.453

***

First-principles (GGA-PBEsol) data for a relaxed structure of CeInPd, as listed in Alexandria.

a = 4.067 Å, b = 7.468 Å, c = 7.468 Å
α = 120.00°, β = 90.00°, γ = 90.00°
Sites, in units of the cell vectors:
1 Ce 0.000 0.585 0.000
2 Ce 0.000 0.415 0.415
3 Ce 0.000 0.000 0.585
4 In 0.500 0.250 0.000
5 In 0.500 0.750 0.750
6 In 0.500 0.000 0.250
7 Pd 0.000 0.000 0.000
8 Pd 0.500 0.333 0.667
9 Pd 0.500 0.667 0.333

Summary:
DOS(E_F) in states/eV per cell: 13.25
Spin magnetization in μB per formula unit: 0.3
ΔH_f (0 K) in eV/atom: -0.697

***

First-principles (GGA-PBEsol) data for a relaxed structure of MgCu4Pt, as listed in Alexandria.

a = 4.775 Å, b = 4.775 Å, c = 4.775 Å
α = 60.00°, β = 60.00°, γ = 60.00°
Sites, in units of the cell vectors:
1 Cu 0.375 0.375 0.375
2 Cu 0.375 0.375 0.875
3 Cu 0.875 0.375 0.375
4 Cu 0.375 0.875 0.375
5 Mg 0.750 0.750 0.750
6 Pt 0.000 0.000 0.000

Summary:
DOS(E_F) in states/eV per cell: 2.25
Spin magnetization in μB per formula unit: 0.0
ΔH_f (0 K) in eV/atom: -0.186

***

First-principles (GGA-PBEsol) data for a relaxed structure of In2ReTc, as listed in Alexandria.

a = 3.002 Å, b = 4.779 Å, c = 5.274 Å
α = 107.42°, β = 106.53°, γ = 90.00°
Sites, in units of the cell vectors:
1 In 0.016 0.047 0.033
2 In 0.234 0.704 0.469
3 Re 0.478 0.520 0.955
4 Tc 0.772 0.229 0.544

Summary:
DOS(E_F) in states/eV per cell: 2.84
Spin magnetization in μB per formula unit: 0.0
ΔH_f (0 K) in eV/atom: 0.421

***

First-principles (GGA-PBEsol) data for a relaxed structure of BePb3Au, as listed in Alexandria.

a = 4.966 Å, b = 4.966 Å, c = 4.966 Å
α = 90.00°, β = 90.00°, γ = 90.00°
Sites, in units of the cell vectors:
1 Pb 0.000 0.500 0.000
2 Pb 0.000 0.000 0.500
3 Pb 0.500 0.000 0.000
4 Be 0.000 0.000 0.000
5 Au 0.500 0.500 0.500

Summary:
DOS(E_F) in states/eV per cell: 2.61
Spin magnetization in μB per formula unit: 0.0
ΔH_f (0 K) in eV/atom: 0.428

***

First-principles (GGA-PBEsol) data for a relaxed structure of Nd2Mn3FeSi4, as listed in Alexandria.

a = 3.910 Å, b = 3.910 Å, c = 10.274 Å
α = 90.00°, β = 90.00°, γ = 90.00°
Sites, in units of the cell vectors:
1 Nd 0.500 0.000 0.752
2 Nd 0.000 0.500 0.248
3 Mn 0.000 0.000 0.500
4 Mn 0.000 0.000 0.000
5 Mn 0.500 0.500 0.500
6 Fe 0.500 0.500 0.000
7 Si 0.000 0.500 0.879
8 Si 0.500 0.000 0.373
9 Si 0.500 0.000 0.121
10 Si 0.000 0.500 0.627

Summary:
Raw formation energy in meV/atom: -597
DOS(E_F) in states/eV per cell: 5.05
Spin magnetization in μB per formula unit: 6.0

***

First-principles (GGA-PBEsol) data for a relaxed structure of BaLi2Ca, as listed in Alexandria.

a = 4.102 Å, b = 4.102 Å, c = 8.335 Å
α = 90.00°, β = 90.00°, γ = 90.00°
Sites, in units of the cell vectors:
1 Ca 0.500 0.500 0.500
2 Ba 0.500 0.500 0.000
3 Li 0.000 0.000 0.715
4 Li 0.000 0.000 0.285

Summary:
DOS(E_F) in states/eV per cell: 4.22
Spin magnetization in μB per formula unit: 0.0
ΔH_f (0 K) in eV/atom: 0.034

***

First-principles (GGA-PBEsol) data for a relaxed structure of Li2BiRh, as listed in Alexandria.

a = 3.896 Å, b = 3.896 Å, c = 9.989 Å
α = 101.25°, β = 101.25°, γ = 90.00°
Sites, in units of the cell vectors:
1 Rh 0.750 0.250 0.500
2 Rh 0.500 0.500 0.000
3 Bi 0.250 0.750 0.500
4 Bi 0.000 0.000 0.000
5 Li 0.400 0.875 0.250
6 Li 0.850 0.375 0.250
7 Li 0.125 0.150 0.750
8 Li 0.625 0.600 0.750

Summary:
DOS(E_F) in states/eV per cell: 4.55
Spin magnetization in μB per formula unit: 0.0
ΔH_f (0 K) in eV/atom: -0.066

***

First-principles (GGA-PBEsol) data for a relaxed structure of ScTe3Se, as listed in Alexandria.

a = 5.332 Å, b = 5.332 Å, c = 5.332 Å
α = 90.00°, β = 90.00°, γ = 90.00°
Sites, in units of the cell vectors:
1 Sc 0.500 0.500 0.500
2 Te 0.000 0.500 0.000
3 Te 0.000 0.000 0.500
4 Te 0.500 0.000 0.000
5 Se 0.000 0.000 0.000

Summary:
Raw formation energy in meV/atom: 190
DOS(E_F) in states/eV per cell: 4.45
Spin magnetization in μB per formula unit: 0.0

***

First-principles (GGA-PBEsol) data for a relaxed structure of Ga3SbIr, as listed in Alexandria.

a = 5.015 Å, b = 5.015 Å, c = 5.015 Å
α = 90.00°, β = 90.00°, γ = 90.00°
Sites, in units of the cell vectors:
1 Sb 0.000 0.000 0.000
2 Ir 0.500 0.500 0.500
3 Ga 0.000 0.500 0.000
4 Ga 0.000 0.000 0.500
5 Ga 0.500 0.000 0.000

Summary:
Raw formation energy in meV/atom: 1466
DOS(E_F) in states/eV per cell: 4.76
Spin magnetization in μB per formula unit: 0.0

***

First-principles (GGA-PBEsol) data for a relaxed structure of CdCu2B2O6, as listed in Alexandria.

a = 3.440 Å, b = 9.314 Å, c = 15.125 Å
α = 90.00°, β = 90.00°, γ = 93.63°
Sites, in units of the cell vectors:
1 Cd 0.210 0.386 0.867
2 Cd 0.790 0.114 0.367
3 Cd 0.210 0.886 0.633
4 Cd 0.790 0.614 0.133
5 Cu 0.688 0.137 0.959
6 Cu 0.688 0.637 0.541
7 Cu 0.312 0.363 0.459
8 Cu 0.312 0.863 0.041
9 Cu 0.309 0.366 0.246
10 Cu 0.691 0.134 0.746
11 Cu 0.309 0.866 0.254
12 Cu 0.691 0.634 0.754
13 B 0.213 0.421 0.652
14 B 0.898 0.685 0.912
15 B 0.213 0.921 0.848
16 B 0.787 0.579 0.348
17 B 0.898 0.185 0.588
18 B 0.102 0.315 0.088
19 B 0.787 0.079 0.152
20 B 0.102 0.815 0.412
21 O 0.720 0.562 0.876
22 O 0.313 0.766 0.149
23 O 0.720 0.062 0.624
24 O 0.687 0.734 0.649
25 O 0.969 0.210 0.502
26 O 0.265 0.993 0.771
27 O 0.735 0.507 0.271
28 O 0.031 0.290 0.002
29 O 0.280 0.438 0.124
30 O 0.313 0.266 0.351
31 O 0.997 0.215 0.156
32 O 0.687 0.234 0.851
33 O 0.651 0.032 0.071
34 O 0.969 0.710 0.998
35 O 0.735 0.007 0.229
36 O 0.997 0.715 0.344
37 O 0.003 0.285 0.656
38 O 0.280 0.938 0.376
39 O 0.651 0.532 0.429
40 O 0.265 0.493 0.729
41 O 0.349 0.468 0.571
42 O 0.349 0.968 0.929
43 O 0.003 0.785 0.844
44 O 0.031 0.790 0.498

Summary:
Raw formation energy in meV/atom: -1466
DOS(E_F) in states/eV per cell: 9.30
Spin magnetization in μB per formula unit: 1.0

***

First-principles (GGA-PBEsol) data for a relaxed structure of Zr3Mn, as listed in Alexandria.

a = 3.243 Å, b = 4.861 Å, c = 5.626 Å
α = 115.60°, β = 106.75°, γ = 90.00°
Sites, in units of the cell vectors:
1 Mn 0.000 0.942 0.000
2 Zr 0.292 0.700 0.584
3 Zr 0.500 0.409 0.000
4 Zr 0.708 0.116 0.416

Summary:
DOS(E_F) in states/eV per cell: 2.84
Spin magnetization in μB per formula unit: 0.0
ΔH_f (0 K) in eV/atom: -0.002

***

First-principles (GGA-PBEsol) data for a relaxed structure of LaPdSe2Cl, as listed in Alexandria.

a = 4.787 Å, b = 4.787 Å, c = 5.601 Å
α = 90.00°, β = 90.00°, γ = 90.00°
Sites, in units of the cell vectors:
1 Cl 0.500 0.500 0.500
2 Se 0.000 0.500 0.000
3 Se 0.500 0.000 0.000
4 Pd 0.000 0.000 0.000
5 La 0.000 0.000 0.500

Summary:
Raw formation energy in meV/atom: -714
DOS(E_F) in states/eV per cell: 2.91
Spin magnetization in μB per formula unit: 0.0

***

First-principles (GGA-PBEsol) data for a relaxed structure of TbTiClO3, as listed in Alexandria.

a = 3.888 Å, b = 5.243 Å, c = 9.770 Å
α = 74.27°, β = 78.52°, γ = 68.24°
Sites, in units of the cell vectors:
1 Tb 0.279 0.240 0.203
2 Tb 0.721 0.760 0.797
3 Ti 0.880 0.809 0.430
4 Ti 0.120 0.191 0.570
5 Cl 0.613 0.678 0.096
6 Cl 0.387 0.322 0.904
7 O 0.852 0.046 0.250
8 O 0.148 0.954 0.750
9 O 0.669 0.098 0.565
10 O 0.331 0.902 0.435
11 O 0.922 0.531 0.625
12 O 0.078 0.469 0.375

Summary:
Raw formation energy in meV/atom: -3122
DOS(E_F) in states/eV per cell: 0.00
Spin magnetization in μB per formula unit: 0.0

***

First-principles (GGA-PBEsol) data for a relaxed structure of ZnOF3, as listed in Alexandria.

a = 3.898 Å, b = 3.898 Å, c = 3.898 Å
α = 90.00°, β = 90.00°, γ = 90.00°
Sites, in units of the cell vectors:
1 Zn 0.000 0.000 0.000
2 O 0.500 0.500 0.500
3 F 0.000 0.500 0.000
4 F 0.000 0.000 0.500
5 F 0.500 0.000 0.000

Summary:
Raw formation energy in meV/atom: -789
DOS(E_F) in states/eV per cell: 3.64
Spin magnetization in μB per formula unit: 2.8

***

First-principles (GGA-PBEsol) data for a relaxed structure of BeAlW2, as listed in Alexandria.

a = 2.776 Å, b = 2.776 Å, c = 7.267 Å
α = 90.00°, β = 90.00°, γ = 102.99°
Sites, in units of the cell vectors:
1 Be 0.500 0.500 0.255
2 Al 0.000 0.000 0.468
3 W 0.000 0.000 0.037
4 W 0.500 0.500 0.739

Summary:
DOS(E_F) in states/eV per cell: 1.39
Spin magnetization in μB per formula unit: 0.0
ΔH_f (0 K) in eV/atom: 0.180

***

First-principles (GGA-PBEsol) data for a relaxed structure of ScMn6Sn6, as listed in Alexandria.

a = 5.323 Å, b = 5.323 Å, c = 8.787 Å
α = 90.00°, β = 90.00°, γ = 120.00°
Sites, in units of the cell vectors:
1 Sc 0.000 0.000 0.000
2 Mn 0.500 0.500 0.248
3 Mn 0.500 0.000 0.248
4 Mn 0.000 0.500 0.248
5 Mn 0.500 0.500 0.752
6 Mn 0.500 0.000 0.752
7 Mn 0.000 0.500 0.752
8 Sn 0.000 0.000 0.328
9 Sn 0.000 0.000 0.672
10 Sn 0.667 0.333 0.500
11 Sn 0.333 0.667 0.500
12 Sn 0.667 0.333 0.000
13 Sn 0.333 0.667 0.000

Summary:
DOS(E_F) in states/eV per cell: 5.46
Spin magnetization in μB per formula unit: 12.5
ΔH_f (0 K) in eV/atom: -0.123

***

First-principles (GGA-PBEsol) data for a relaxed structure of Ba2InGa, as listed in Alexandria.

a = 5.805 Å, b = 5.805 Å, c = 5.805 Å
α = 60.00°, β = 60.00°, γ = 60.00°
Sites, in units of the cell vectors:
1 Ba 0.250 0.250 0.250
2 Ba 0.750 0.750 0.750
3 Ga 0.000 0.000 0.000
4 In 0.500 0.500 0.500

Summary:
DOS(E_F) in states/eV per cell: 3.37
Spin magnetization in μB per formula unit: 0.0
ΔH_f (0 K) in eV/atom: -0.332

***

First-principles (GGA-PBEsol) data for a relaxed structure of NaSb3Cl, as listed in Alexandria.

a = 5.361 Å, b = 5.361 Å, c = 5.361 Å
α = 90.00°, β = 90.00°, γ = 90.00°
Sites, in units of the cell vectors:
1 Sb 0.000 0.500 0.000
2 Sb 0.000 0.000 0.500
3 Sb 0.500 0.000 0.000
4 Na 0.500 0.500 0.500
5 Cl 0.000 0.000 0.000

Summary:
Raw formation energy in meV/atom: 436
DOS(E_F) in states/eV per cell: 5.21
Spin magnetization in μB per formula unit: 0.0

***

First-principles (GGA-PBEsol) data for a relaxed structure of CaReRh2W, as listed in Alexandria.

a = 4.382 Å, b = 4.382 Å, c = 4.659 Å
α = 90.00°, β = 90.00°, γ = 90.00°
Sites, in units of the cell vectors:
1 Re 0.500 0.500 0.500
2 Ca 0.000 0.000 0.000
3 Rh 0.000 0.500 0.000
4 Rh 0.500 0.000 0.000
5 W 0.000 0.000 0.500

Summary:
DOS(E_F) in states/eV per cell: 6.19
Spin magnetization in μB per formula unit: 1.0
ΔH_f (0 K) in eV/atom: 2.617